First-principles (GGA-PBE) data for a geometry-optimized Ba2NiH2 structure, as listed in the Alexandria database.

Computed properties:
For the relative energy among the computed polymorphs, the calculation gives 47.7 meV per atom.

a = 7.6144 Å, b = 7.6144 Å, c = 3.5360 Å
α = 90.00°, β = 90.00°, γ = 90.00°
Space group P4/mbm (No. 127)
Inequivalent atoms, fractional coordinates:
Ba 0.1828 0.3172 0.0000 [4 per cell]
Ni 0.0000 0.0000 0.5000 [2 per cell]
H 0.1197 0.6197 0.5000 [4 per cell]


First-principles (GGA-PBE) data for a geometry-optimized Ba2NiH structure, as listed in the Alexandria database.

Computed properties:
For the relative energy among the computed polymorphs, the calculation gives 51.9 meV per atom.

a = 4.2379 Å, b = 4.2379 Å, c = 22.9687 Å
α = 90.00°, β = 90.00°, γ = 120.00°
Space group R3m (No. 160, hexagonal axes)
Inequivalent atoms, fractional coordinates:
Ba 0.0000 0.0000 0.0000 [3 per cell]
Ba 0.0000 0.0000 0.1718 [3 per cell]
Ni 0.0000 0.0000 0.5859 [3 per cell]
H 0.0000 0.0000 0.4177 [3 per cell]


First-principles (GGA-PBE) data for a geometry-optimized BaNiH2 structure, as listed in the Alexandria database.

Computed properties:
For the relative energy among the computed polymorphs, the calculation gives 580.3 meV per atom.

a = 6.3655 Å, b = 6.3655 Å, c = 6.3655 Å
α = 90.00°, β = 90.00°, γ = 90.00°
Space group Fm-3m (No. 225)
Inequivalent atoms, fractional coordinates:
Ba 0.0000 0.0000 0.0000 [4 per cell]
Ni 0.0000 0.0000 0.5000 [4 per cell]
H 0.2500 0.2500 0.2500 [8 per cell]


First-principles (GGA-PBE) data for a geometry-optimized BaNiH3 structure, as listed in the Alexandria database.

Computed properties:
For the relative energy among the computed polymorphs, the calculation gives 32.1 meV per atom.

a = 5.5678 Å, b = 5.5678 Å, c = 4.7877 Å
α = 90.00°, β = 90.00°, γ = 120.00°
Space group P6_3/mmc (No. 194)
Inequivalent atoms, fractional coordinates:
Ba 0.3333 0.6667 0.2500 [2 per cell]
Ni 0.0000 0.0000 0.0000 [2 per cell]
H 0.1324 0.2649 0.7500 [6 per cell]


First-principles (GGA-PBE) data for a geometry-optimized Ba8Ni2H structure, as listed in the Alexandria database.

Computed properties:
The raw total energy is -2.64 eV per atom.

a = 16.3867 Å, b = 10.0412 Å, c = 6.4854 Å
α = 90.00°, β = 91.12°, γ = 90.00°
Space group C2/m (No. 12)
Inequivalent atoms, fractional coordinates:
Ba 0.0835 0.1994 0.2344 [8 per cell]
Ba 0.1121 0.5000 0.7417 [4 per cell]
Ba 0.1960 0.0000 0.7499 [4 per cell]
Ni 0.2107 0.0000 0.2575 [4 per cell]
H 0.0000 0.0000 0.0000 [2 per cell]


First-principles (GGA-PBE) data for a geometry-optimized BaNi2H2 structure, as listed in the Alexandria database.

Computed properties:
For the relative energy among the computed polymorphs, the calculation gives 624.6 meV per atom.

a = 6.9275 Å, b = 6.9275 Å, c = 2.9724 Å
α = 90.00°, β = 90.00°, γ = 90.00°
Space group P4/mbm (No. 127)
Inequivalent atoms, fractional coordinates:
Ba 0.0000 0.0000 0.0000 [2 per cell]
Ni 0.1111 0.3889 0.5000 [4 per cell]
H 0.0901 0.5901 0.0000 [4 per cell]


First-principles (GGA-PBE) data for a geometry-optimized Ba2NiH2 structure, as listed in the Alexandria database.

Computed properties:
For the relative energy among the computed polymorphs, the calculation gives 0.0 meV per atom.

a = 4.1086 Å, b = 4.1086 Å, c = 14.1307 Å
α = 90.00°, β = 90.00°, γ = 90.00°
Space group I4/mmm (No. 139)
Inequivalent atoms, fractional coordinates:
Ba 0.0000 0.0000 0.1356 [4 per cell]
Ni 0.0000 0.0000 0.5000 [2 per cell]
H 0.0000 0.5000 0.2500 [4 per cell]


First-principles (GGA-PBE) data for a geometry-optimized BaNiH4 structure, as listed in the Alexandria database.

Computed properties:
The raw total energy is -3.47 eV per atom.

a = 3.2867 Å, b = 3.2867 Å, c = 5.6387 Å
α = 90.00°, β = 90.00°, γ = 90.00°
Space group P4/mmm (No. 123)
Inequivalent atoms, fractional coordinates:
Ba 0.0000 0.0000 0.0000 [1 per cell]
Ni 0.5000 0.5000 0.5000 [1 per cell]
H 0.0000 0.5000 0.3747 [4 per cell]


First-principles (GGA-PBE) data for a geometry-optimized BaNi2H7 structure, as listed in the Alexandria database.

Computed properties:
The raw total energy is -3.85 eV per atom.

a = 4.8739 Å, b = 9.5477 Å, c = 3.6707 Å
α = 90.00°, β = 90.00°, γ = 90.00°
Space group Cmmm (No. 65)
Inequivalent atoms, fractional coordinates:
Ba 0.0000 0.0000 0.0000 [2 per cell]
Ni 0.0000 0.3167 0.5000 [4 per cell]
H 0.0000 0.3311 0.0000 [4 per cell]
H 0.0000 0.5000 0.5000 [2 per cell]
H 0.1734 0.1670 0.5000 [8 per cell]


First-principles (GGA-PBE) data for a geometry-optimized BaNiH3 structure, as listed in the Alexandria database.

Computed properties:
For the relative energy among the computed polymorphs, the calculation gives 1362.2 meV per atom.

a = 4.8025 Å, b = 4.8025 Å, c = 4.8025 Å
α = 90.00°, β = 90.00°, γ = 90.00°
Space group Pm-3m (No. 221)
Inequivalent atoms, fractional coordinates:
Ba 0.0000 0.0000 0.0000 [1 per cell]
Ni 0.5000 0.5000 0.5000 [1 per cell]
H 0.0000 0.0000 0.5000 [3 per cell]


First-principles (GGA-PBE) data for a geometry-optimized Ba6NiH structure, as listed in the Alexandria database.

Computed properties:
The raw total energy is -2.65 eV per atom.

a = 7.6706 Å, b = 7.6706 Å, c = 14.5078 Å
α = 90.00°, β = 90.00°, γ = 120.00°
Space group P-31c (No. 163)
Inequivalent atoms, fractional coordinates:
Ba 0.0127 0.3367 0.1243 [12 per cell]
Ni 0.0000 0.0000 0.0000 [2 per cell]
H 0.3333 0.6667 0.2500 [2 per cell]


First-principles (GGA-PBE) data for a geometry-optimized Ba2Ni2H5 structure, as listed in the Alexandria database.

Computed properties:
The raw total energy is -3.85 eV per atom.

a = 3.7509 Å, b = 3.7509 Å, c = 8.2050 Å
α = 90.00°, β = 90.00°, γ = 90.00°
Space group P4/mmm (No. 123)
Inequivalent atoms, fractional coordinates:
Ba 0.0000 0.0000 0.0000 [1 per cell]
Ba 0.0000 0.0000 0.5000 [1 per cell]
Ni 0.5000 0.5000 0.2336 [2 per cell]
H 0.0000 0.5000 0.2479 [4 per cell]
H 0.5000 0.5000 0.0000 [1 per cell]


The records above yield volume values of 102.5, 119.1, 64.5, 64.3, 533.5, 71.3, 119.3, 60.9, 85.4, 110.8, 369.6, 115.4 Å³/f.u., respectively.
The records above yield total moment values of 0.00, 0.00, 3.98, 0.46, 0.00, 0.00, 0.00, 0.00, 0.00, 1.08, 0.00, 0.00 Bohr magnetons per cell, respectively.